KLi4CrO5: relaxed, PBE+U.

Calculated values
Space-group type: P-1 (2)
Magnetic moment: 0.092 μB/atom
Raw total energy: -120.121 eV/cell

Cell: 5.6050 5.8708 8.3066 Å, 91.49 98.22 118.50°
Last column: magnetic moment on the atom in μB.
Positions (direct):
K 0.3903 0.2431 0.5859  0.00
K 0.6097 0.7569 0.4141  0.00
Li 0.4406 0.6426 0.9150  0.00
Li 0.5594 0.3574 0.0850  0.00
Li 0.3322 0.0027 0.8748  0.01
Li 0.6678 0.9973 0.1252  0.01
Li 0.9001 0.6161 0.9136  0.00
Li 0.0999 0.3839 0.0864  0.00
Li 0.1182 0.6723 0.6252  -0.01
Li 0.8818 0.3277 0.3748  -0.01
Cr 0.8666 0.0961 0.7797  1.24
Cr 0.1334 0.9039 0.2203  1.24
O 0.2235 0.2693 0.9120  -0.03
O 0.7765 0.7307 0.0880  -0.03
O 0.7495 0.2333 0.9400  -0.03
O 0.2505 0.7667 0.0600  -0.03
O 0.4935 0.8410 0.7280  -0.04
O 0.5065 0.1590 0.2720  -0.04
O 0.9477 0.8340 0.7305  -0.03
O 0.0523 0.1660 0.2695  -0.03
O 0.9118 0.2801 0.6185  -0.08
O 0.0882 0.7199 0.3815  -0.08